NbV2ZnSe | PBE | optimized geometry

Summary:
The calculation puts the volume at 20.6 Å³/atom. As for the uncorrected energy: -5.4875 eV/atom.

abc: 4.6269 4.6269 4.8043
angles: 90.00 90.00 90.00
Atoms (fractional coordinates):
1 Nb 0.0000 0.0000 0.0000
2 V 0.0000 0.5000 0.5000
3 V 0.5000 0.0000 0.5000
4 Zn 0.0000 0.0000 0.5000
5 Se 0.5000 0.5000 0.0000